YV2Zn | GGA-PBE | relaxed

Cell lengths 10.0288, 10.0288, 10.0288 Å; angles 156.03, 156.03, 34.16 degrees
Atoms (fractional coordinates):
Y 0.3750 0.6250 0.7500
Y 0.6250 0.3750 0.2500
V 0.0000 0.0000 0.0000
V 0.0000 0.0000 0.5000
V 0.0000 0.5000 0.0000
V 0.5000 0.0000 0.5000
Zn 0.1250 0.8750 0.2500
Zn 0.8750 0.1250 0.7500

Properties
Calculated formation energy   523 meV/atom
M_tot   0.0 μB/f.u.